Model 1:
# LiCrNi2 | Alexandria | PBE | optimized geometry
# Density of states at the Fermi level ... 10.87 states/eV/cell
# Magnetic moment ... 2.763 Bohr magnetons per cell
data_LiCrNi2
_symmetry_space_group_name_H-M 'C m m m'
_symmetry_Int_Tables_number 65
_symmetry_space_group_name_Hall '-C 2 2'
_cell_length_a 5.232
_cell_length_b 6.926
_cell_length_c 2.482
_cell_angle_alpha 90.00
_cell_angle_beta 90.00
_cell_angle_gamma 90.00
loop_
_atom_site_label
_atom_site_fract_x
_atom_site_fract_y
_atom_site_fract_z
_atom_site_occupancy
Li1 0.000 0.000 0.000 1
Cr1 0.000 0.500 0.000 1
Ni1 0.250 0.250 0.500 1

Model 2:
# LiCrNi2 | Alexandria | PBE | optimized geometry
# Density of states at the Fermi level ... 9.32 states/eV/cell
# Magnetic moment ... 0.000 Bohr magnetons per cell
data_LiCrNi2
_symmetry_space_group_name_H-M 'R 3 m'
_symmetry_Int_Tables_number 160
_symmetry_space_group_name_Hall 'R 3 -2"'
_cell_length_a 2.4857
_cell_length_b 2.4857
_cell_length_c 25.8311
_cell_angle_alpha 90.00
_cell_angle_beta 90.00
_cell_angle_gamma 120.00
loop_
_atom_site_label
_atom_site_fract_x
_atom_site_fract_y
_atom_site_fract_z
_atom_site_occupancy
Li1 0.0000 0.0000 0.0000 1
Cr1 0.0000 0.0000 0.2385 1
Ni1 0.0000 0.0000 0.4949 1
Ni2 0.0000 0.0000 0.7475 1

Model 3:
# LiCrNi2 | Alexandria | PBE | optimized geometry
# Density of states at the Fermi level ... 6.11 states/eV/cell
# Magnetic moment ... 0.400 Bohr magnetons per cell
data_LiCrNi2
_symmetry_space_group_name_H-M 'P 4 m m'
_symmetry_Int_Tables_number 99
_cell_length_a 2.424
_cell_length_b 2.424
_cell_length_c 7.936
_cell_angle_alpha 90.00
_cell_angle_beta 90.00
_cell_angle_gamma 90.00
loop_
_symmetry_equiv_pos_as_xyz
'x,y,z'
'-y,x,z'
'-x,-y,z'
'y,-x,z'
'-x,y,z'
'y,x,z'
'x,-y,z'
'-y,-x,z'
loop_
_atom_site_label
_atom_site_fract_x
_atom_site_fract_y
_atom_site_fract_z
_atom_site_occupancy
Li1 0.000 0.000 0.000 1
Cr1 0.500 0.500 0.704 1
Ni1 0.000 0.000 0.473 1
Ni2 0.500 0.500 0.244 1

Model 4:
# LiCrNi2 | Alexandria | PBE | optimized geometry
# Density of states at the Fermi level ... 4.19 states/eV/cell
# Magnetic moment ... 1.195 Bohr magnetons per cell
data_LiCrNi2
_symmetry_space_group_name_H-M 'P m m 2'
_symmetry_Int_Tables_number 25
_cell_length_a 2.451
_cell_length_b 4.175
_cell_length_c 4.380
_cell_angle_alpha 90.00
_cell_angle_beta 90.00
_cell_angle_gamma 90.00
loop_
_symmetry_equiv_pos_as_xyz
'x,y,z'
'-x,-y,z'
'-x,y,z'
'x,-y,z'
loop_
_atom_site_label
_atom_site_fract_x
_atom_site_fract_y
_atom_site_fract_z
_atom_site_occupancy
Li1 0.000 0.000 0.000 1
Cr1 0.000 0.500 0.364 1
Ni1 0.500 0.000 0.508 1
Ni2 0.500 0.500 0.866 1

Energies, relative to the best one, in meV per atom: model 1 10; model 2 36; model 3 92; model 4 0.